This record from Alexandria describes crystalline As2IrPt at its relaxed geometry. The functional is GGA-PBE.

abc: 8.1716 3.5702 4.9280
angles: 90.00 105.10 90.00
Space group Cm (No. 8)
Inequivalent atoms, fractional coordinates:
As  0.0000  0.0000  0.0000
As  0.2131  0.0000  0.5934
Ir  0.0063  0.5000  0.5808
Pt  0.2399  0.5000  0.2113

Output
ΔE_f = -0.013 eV per atom
Fermi-level density of states = 0.478 states/eV per atom
Excess energy over the best structure of this formula in the dataset = 0.28 eV per formula unit